[1]
Material: DyZn9Au2
Method: DFT, PBE
State: optimized geometry

Properties
The value obtained for the total energy is -2.059 eV per atom. Its density of states at the Fermi level is 0.1828 states/eV per atom. As for the formation energy: -0.174 eV per atom.

Cell lengths 3.1193, 8.7383, 8.7383 Å; angles 120.00, 90.00, 90.00 degrees
Fractional coordinates of all 12 atoms:
Zn 0.0000 0.5000 0.0000
Zn 0.5000 0.6390 0.8195
Zn 0.5000 0.8195 0.1805
Zn 0.5000 0.8195 0.6390
Zn 0.5000 0.3610 0.1805
Zn 0.5000 0.1805 0.3610
Zn 0.0000 0.0000 0.5000
Zn 0.5000 0.1805 0.8195
Zn 0.0000 0.5000 0.5000
Au 0.0000 0.6667 0.3333
Au 0.0000 0.3333 0.6667
Dy 0.0000 0.0000 0.0000

***

[2]
Material: MnAg2Ir
Method: DFT, PBE
State: optimized geometry

Properties
The value obtained for the total energy is -5.047 eV per atom. Its density of states at the Fermi level is 1.8656 states/eV per atom. As for the formation energy: 0.886 eV per atom.

Cell lengths 4.4216, 4.4216, 4.4216 Å; angles 60.00, 60.00, 60.00 degrees
Fractional coordinates of all 4 atoms:
Ag 0.2500 0.2500 0.2500
Ag 0.7500 0.7500 0.7500
Mn 0.0000 0.0000 0.0000
Ir 0.5000 0.5000 0.5000

***

[3]
Material: Ce6TcRu
Method: DFT, PBE
State: optimized geometry

Properties
The value obtained for the total energy is -6.837 eV per atom. Its density of states at the Fermi level is 2.0472 states/eV per atom. As for the formation energy: 0.068 eV per atom.

Cell lengths 8.0112, 8.0112, 8.0112 Å; angles 147.09, 133.47, 58.16 degrees
Fractional coordinates of all 8 atoms:
Ce 0.7552 0.5000 0.2552
Ce 0.4689 0.1902 0.2787
Ce 0.2448 0.5000 0.7448
Ce 0.9115 0.1902 0.7213
Ce 0.5311 0.8098 0.7213
Ce 0.0885 0.8098 0.2787
Tc 0.5000 0.0000 0.5000
Ru 0.0000 0.0000 0.0000

***

[4]
Material: TcNi2W
Method: DFT, PBE
State: optimized geometry

Properties
The value obtained for the total energy is -8.681 eV per atom. Its density of states at the Fermi level is 0.7782 states/eV per atom. As for the formation energy: 0.040 eV per atom.

Cell lengths 2.6185, 3.7740, 5.3445 Å; angles 90.00, 90.00, 90.00 degrees
Fractional coordinates of all 4 atoms:
Ni 0.0000 0.0000 0.0118
Ni 0.5000 0.5000 0.2397
W 0.5000 0.5000 0.7660
Tc 0.0000 0.0000 0.4825

***

[5]
Material: PmNd2Te2
Method: DFT, PBE
State: optimized geometry

Properties
The formation energy (no corrections) comes out at -1010 meV/atom. The value obtained for the total energy is -5.124 eV per atom. Its density of states at the Fermi level is 0.8117 states/eV per atom.

Cell lengths 4.1991, 4.1991, 22.2603 Å; angles 90.00, 90.00, 120.00 degrees
Last column: magnetic moment on the atom in μB.
Fractional coordinates of all 10 atoms:
Te 0.6667 0.3333 0.3405  0.01
Te 0.3333 0.6667 0.8405  0.01
Te 0.3333 0.6667 0.6595  0.01
Te 0.6667 0.3333 0.1595  0.01
Pm 0.0000 0.0000 0.7500  -0.04
Pm 0.0000 0.0000 0.2500  -0.04
Nd 0.6667 0.3333 0.5669  0.17
Nd 0.3333 0.6667 0.0669  0.17
Nd 0.3333 0.6667 0.4331  0.17
Nd 0.6667 0.3333 0.9331  0.17

***

[6]
Material: Sr3Ta
Method: DFT, PBE
State: optimized geometry

Properties
The value obtained for the total energy is -3.360 eV per atom. Its density of states at the Fermi level is 1.0818 states/eV per atom. As for the formation energy: 0.865 eV per atom.

Cell lengths 7.5310, 7.5310, 7.5310 Å; angles 151.34, 130.04, 58.62 degrees
Last column: magnetic moment on the atom in μB.
Fractional coordinates of all 4 atoms:
Ta 0.5000 0.0000 0.5000  0.98
Sr 0.0000 0.5000 0.5000  0.03
Sr 0.2937 0.2937 0.0000  0.01
Sr 0.7063 0.7063 0.0000  0.01

***

[7]
Material: AcNd6Er2Tm
Method: DFT, PBE
State: optimized geometry

Properties
The value obtained for the total energy is -4.511 eV per atom. Its density of states at the Fermi level is 1.4341 states/eV per atom. As for the formation energy: 0.120 eV per atom.

Cell lengths 9.6811, 9.0553, 9.0553 Å; angles 117.21, 92.79, 92.79 degrees
Fractional coordinates of all 20 atoms:
Er 0.4514 0.7925 0.6839
Er 0.9514 0.6839 0.7925
Er 0.0486 0.3161 0.2075
Er 0.5486 0.2075 0.3161
Ac 0.2500 0.9713 0.0287
Ac 0.7500 0.0287 0.9713
Nd 0.6854 0.0037 0.5535
Nd 0.9459 0.8757 0.2419
Nd 0.8836 0.2891 0.5120
Nd 0.8146 0.4465 0.9963
Nd 0.3836 0.5120 0.2891
Nd 0.0541 0.1243 0.7581
Nd 0.1164 0.7109 0.4880
Nd 0.4459 0.2419 0.8757
Nd 0.3146 0.9963 0.4465
Nd 0.6164 0.4880 0.7109
Nd 0.1854 0.5535 0.0037
Nd 0.5541 0.7581 0.1243
Tm 0.2500 0.4144 0.5856
Tm 0.7500 0.5856 0.4144

***

[8]
Material: CuAs4H10O16
Method: DFT, PBE
State: optimized geometry

Properties
The value obtained for the total energy is -5.417 eV per atom.

Cell lengths 5.4531, 7.7646, 8.6895 Å; angles 108.46, 98.19, 93.10 degrees
Last column: magnetic moment on the atom in μB.
Fractional coordinates of all 31 atoms:
As 0.0344 0.2761 0.6975  0.00
As 0.9656 0.7239 0.3025  0.00
As 0.4227 0.8080 0.8008  0.01
As 0.5773 0.1920 0.1992  0.01
O 0.5840 0.0319 0.3016  0.00
O 0.8575 0.2103 0.1349  0.08
O 0.1163 0.2400 0.5047  0.00
O 0.8708 0.0912 0.7090  0.00
O 0.4213 0.5956 0.6521  0.01
O 0.8682 0.4678 0.7322  0.00
O 0.1292 0.9088 0.2910  0.00
O 0.4160 0.9681 0.6984  0.00
O 0.8837 0.7600 0.4953  0.00
O 0.6770 0.8477 0.9538  0.06
O 0.3230 0.1523 0.0462  0.06
O 0.5787 0.4044 0.3479  0.01
O 0.3002 0.3547 0.8472  0.00
O 0.1425 0.7897 0.8651  0.08
O 0.6998 0.6453 0.1528  0.00
O 0.1318 0.5322 0.2678  0.00
H 0.3136 0.2771 0.9214  0.00
H 0.5784 0.5393 0.6708  0.00
H 0.4100 0.9711 0.2946  0.00
H 0.0143 0.4148 0.2165  0.00
H 0.9857 0.5852 0.7835  0.00
H 0.8927 0.8940 0.5625  0.00
H 0.6864 0.7229 0.0786  0.00
H 0.5900 0.0289 0.7054  0.00
H 0.1073 0.1060 0.4375  0.00
H 0.4216 0.4607 0.3292  0.00
Cu 0.0000 0.0000 0.0000  0.63

***

> The highest total energy belongs to which entry?

DyZn9Au2